(1)
The following is a DFT calculation (PBE-GGA) of ErMgCuTe2S after structural relaxation.

Cell lengths 7.097, 7.097, 10.323 Å; angles 90.00, 90.00, 147.07 degrees
Positions (direct):
Cu: 0.014 0.986 0.250
Cu: 0.986 0.014 0.750
Er: 0.500 0.500 0.000
Er: 0.500 0.500 0.500
Mg: 0.781 0.219 0.250
Mg: 0.219 0.781 0.750
S: 0.416 0.584 0.250
S: 0.584 0.416 0.750
Te: 0.154 0.846 0.074
Te: 0.154 0.846 0.426
Te: 0.846 0.154 0.574
Te: 0.846 0.154 0.926

**Crystal system**: orthorhombic
**Electronic total energy**: -4.26 eV/atom


(2)
The following is a DFT calculation (PBE-GGA) of Dy2Er3Lu2Te2Pd2 after structural relaxation.

Cell lengths 9.351, 9.351, 9.351 Å; angles 155.82, 67.06, 118.53 degrees
Positions (direct):
Dy: 0.690 0.373 0.318
Dy: 0.055 0.373 0.682
Er: 0.998 0.998 0.000
Er: 0.091 0.734 0.357
Er: 0.377 0.734 0.643
Lu: 0.713 0.582 0.131
Lu: 0.452 0.582 0.869
Pd: 0.309 0.070 0.239
Pd: 0.831 0.070 0.761
Te: 0.341 0.341 0.000
Te: 0.730 0.230 0.500

**Crystal system**: orthorhombic
**Energy above the lowest structure with this stoichiometry**: 16.7 meV/atom
**Electronic total energy**: -5.25 eV/atom


(3)
The following is a DFT calculation (PBE-GGA) of PaTaCo after structural relaxation.

Cell lengths 4.405, 4.405, 4.405 Å; angles 60.00, 60.00, 60.00 degrees
Positions (direct):
Co: 0.000 0.000 0.000
Pa: 0.250 0.250 0.250
Ta: 0.750 0.750 0.750

**Crystal system**: cubic
**Electronic total energy**: -9.14 eV/atom
**E_form**: 0.340 eV per atom